PrNd2Tm9 | PBE | relaxed

a = 5.0049 Å, b = 5.0049 Å, c = 15.0147 Å
α = 90.00°, β = 90.00°, γ = 90.00°
Closest atoms and distances in Å follow each position.
Positions (direct):
1 Pr 0.0000 0.0000 0.0000  12 Tm 3.54-3.55
2 Nd 0.0000 0.0000 0.3336  12 Tm 3.53-3.54
3 Nd 0.0000 0.0000 0.6664  12 Tm 3.53-3.54
4 Tm 0.5000 0.5000 0.0000  4 Pr 3.54, 8 Tm 3.55
5 Tm 0.5000 0.5000 0.3338  8 Tm 3.53-3.54, 4 Nd 3.54
6 Tm 0.5000 0.5000 0.6662  8 Tm 3.53-3.54, 4 Nd 3.54
7 Tm 0.5000 0.0000 0.1674  2 Nd 3.53, 8 Tm 3.54-3.55, 2 Pr 3.55
8 Tm 0.5000 0.0000 0.5000  8 Tm 3.53-3.54, 4 Nd 3.54
9 Tm 0.5000 0.0000 0.8326  2 Nd 3.53, 8 Tm 3.54-3.55, 2 Pr 3.55
10 Tm 0.0000 0.5000 0.1674  2 Nd 3.53, 8 Tm 3.54-3.55, 2 Pr 3.55
11 Tm 0.0000 0.5000 0.5000  8 Tm 3.53-3.54, 4 Nd 3.54
12 Tm 0.0000 0.5000 0.8326  2 Nd 3.53, 8 Tm 3.54-3.55, 2 Pr 3.55

Results
Energy of formation: 0.7 kcal/mol of atoms

***

Pr2Nd3Tm8 | PBE | relaxed

a = 6.5861 Å, b = 9.0338 Å, c = 9.6080 Å
α = 57.94°, β = 62.22°, γ = 69.01°
Closest atoms and distances in Å follow each position.
Positions (direct):
1 Pr 0.3763 0.2310 0.2459  2 Nd 3.38-3.58, 8 Tm 3.38-3.56
2 Pr 0.6237 0.7690 0.7541  2 Nd 3.38-3.58, 8 Tm 3.38-3.56
3 Nd 0.5000 0.0000 0.0000  2 Pr 3.58, 6 Tm 3.58-3.83, 2 Nd 3.66
4 Nd 0.8834 0.2756 0.9056  6 Tm 3.35-3.71, 1 Pr 3.38, 1 Nd 3.66
5 Nd 0.1166 0.7244 0.0944  6 Tm 3.35-3.71, 1 Pr 3.38, 1 Nd 3.66
6 Tm 0.1358 0.6458 0.4836  8 Tm 3.34-3.70, 1 Pr 3.40, 2 Nd 3.47-3.70
7 Tm 0.8642 0.3542 0.5164  8 Tm 3.34-3.70, 1 Pr 3.40, 2 Nd 3.47-3.70
8 Tm 0.9058 0.0823 0.3265  3 Pr 3.41-3.56, 6 Tm 3.41-3.64, 1 Nd 3.51
9 Tm 0.0942 0.9177 0.6735  3 Pr 3.41-3.56, 6 Tm 3.41-3.64, 1 Nd 3.51
10 Tm 0.6800 0.5319 0.1673  5 Tm 3.46-3.71, 4 Nd 3.49-3.78, 2 Pr 3.50
11 Tm 0.3891 0.2251 0.5965  7 Tm 3.34-3.71, 2 Nd 3.35-3.59, 2 Pr 3.38-3.56
12 Tm 0.6109 0.7749 0.4035  7 Tm 3.34-3.71, 2 Nd 3.35-3.59, 2 Pr 3.38-3.56
13 Tm 0.3200 0.4681 0.8327  5 Tm 3.46-3.71, 4 Nd 3.49-3.78, 2 Pr 3.50

Results
Energy of formation: 1.6 kcal/mol of atoms

***

PrNd5Tm4 | PBE | relaxed

a = 3.6292 Å, b = 3.6292 Å, c = 25.1795 Å
α = 90.00°, β = 90.00°, γ = 90.00°
Closest atoms and distances in Å follow each position.
Positions (direct):
1 Pr 0.0000 0.0000 0.0000  4 Pr 3.63, 8 Nd 3.69
2 Nd 0.5000 0.5000 0.1052  4 Tm 3.59, 4 Nd 3.63, 4 Pr 3.69
3 Nd 0.5000 0.5000 0.3032  8 Tm 3.57, 4 Nd 3.63
4 Nd 0.5000 0.5000 0.5000  8 Tm 3.57, 4 Nd 3.63
5 Nd 0.5000 0.5000 0.6968  8 Tm 3.57, 4 Nd 3.63
6 Nd 0.5000 0.5000 0.8948  4 Tm 3.59, 4 Nd 3.63, 4 Pr 3.69
7 Tm 0.0000 0.0000 0.2047  8 Nd 3.57-3.59, 4 Tm 3.63
8 Tm 0.0000 0.0000 0.4016  8 Nd 3.57, 4 Tm 3.63
9 Tm 0.0000 0.0000 0.5984  8 Nd 3.57, 4 Tm 3.63
10 Tm 0.0000 0.0000 0.7953  8 Nd 3.57-3.59, 4 Tm 3.63

Results
Energy of formation: 0.5 kcal/mol of atoms